A plane-wave DFT calculation with PBE-GGA was carried out for an optimized crystal structure of LaInBi.

formation enthalpy at 0 K	-425.4	meV/atom
polymorph energy (0 for the lowest one)	47	meV per atom

Cell: 5.0995 5.0995 9.6715 Å, 90.00 90.00 120.00°
Fractional positions:
La  0.0000  0.0000  0.2266
La  0.0000  0.0000  0.7734
In  0.3333  0.6667  0.0339
In  0.6667  0.3333  0.9661
Bi  0.3333  0.6667  0.3581
Bi  0.6667  0.3333  0.6419